4
Lattice="4.733 0.000 0.000 0.000 4.733 0.000 0.000 0.000 4.673" Properties=species:S:1:pos:R:3 comment="Tl2CdGa (GGA-PBE, optimized geometry)" total_energy_ev_per_atom=-2.072 formation_energy_ev_per_atom=0.10 pbc="T T T"
Tl 0.000 2.366 0.000
Tl 2.366 0.000 0.000
Cd 0.000 0.000 2.336
Ga 2.366 2.366 2.336